Entry from Alexandria via LeMat-Bulk: crystalline PmZn2InPd5 at its relaxed geometry (PBE).

Computed properties:
Formation energy = -0.46 eV/atom
Space-group type = P4/mmm (123)
DOS at the Fermi energy = 3.515 states/eV per cell
Electronic total energy = -4.4564 eV/atom

Lattice parameters (Å, degrees): 4.2065 4.2065 9.2657 90.00 90.00 90.00
Closest atoms and distances in Å follow each position.
Fractional coordinates of all 9 atoms:
Pm: 0.0000 0.0000 0.0000  12 Pd 2.97
Zn: 0.5000 0.5000 0.3703  1 Zn 2.40, 4 Pd 2.49
Zn: 0.5000 0.5000 0.6297  1 Zn 2.40, 4 Pd 2.49
In: 0.0000 0.0000 0.5000  8 Zn 3.21, 8 Pd 3.29
Pd: 0.0000 0.5000 0.2266  2 Zn 2.49
Pd: 0.0000 0.5000 0.7734  2 Zn 2.49
Pd: 0.5000 0.0000 0.2266  2 Zn 2.49
Pd: 0.5000 0.0000 0.7734  2 Zn 2.49
Pd: 0.5000 0.5000 0.0000  8 Pd 2.97, 4 Pm 2.97

***

Entry from Alexandria via LeMat-Bulk: crystalline EuTmNi2 at its relaxed geometry (PBE).

Computed properties:
Formation energy = -0.27 eV/atom
Space-group type = P4/mmm (123)
DOS at the Fermi energy = 8.787 states/eV per cell
Electronic total energy = -6.8448 eV/atom

Lattice parameters (Å, degrees): 3.3914 3.3914 6.9069 90.00 90.00 90.00
Closest atoms and distances in Å follow each position.
Fractional coordinates of all 4 atoms:
Eu: 0.0000 0.0000 0.0000  8 Ni 3.11, 4 Eu 3.39, 2 Tm 3.45
Tm: 0.0000 0.0000 0.5000  8 Ni 2.81
Ni: 0.5000 0.5000 0.2877  4 Tm 2.81, 1 Ni 2.93, 4 Eu 3.11
Ni: 0.5000 0.5000 0.7123  4 Tm 2.81, 1 Ni 2.93, 4 Eu 3.11

***

Entry from Alexandria via LeMat-Bulk: crystalline TbCeCuSi at its relaxed geometry (PBE).

Computed properties:
E_form (uncorrected) = -1.37 eV/f.u.
Space-group type = F-43m (216)
DOS at the Fermi energy = 8.816 states/eV per cell
Electronic total energy = -5.3633 eV/atom

Lattice parameters (Å, degrees): 4.9953 4.9953 4.9953 60.00 60.00 60.00
Closest atoms and distances in Å follow each position.
Fractional coordinates of all 4 atoms:
Tb: 0.0000 0.0000 0.0000  4 Si 3.06, 4 Cu 3.06
Ce: 0.5000 0.5000 0.5000  4 Si 3.06, 4 Cu 3.06
Cu: 0.2500 0.2500 0.2500  4 Tb 3.06, 4 Ce 3.06
Si: 0.7500 0.7500 0.7500  4 Tb 3.06, 4 Ce 3.06

***

Entry from Alexandria via LeMat-Bulk: crystalline Ac2HfGe3Pt4 at its relaxed geometry (PBE).

Computed properties:
Formation energy = -0.95 eV/atom
Space-group type = P-4m2 (115)
DOS at the Fermi energy = 5.861 states/eV per cell
Electronic total energy = -6.5711 eV/atom

Lattice parameters (Å, degrees): 4.4840 4.4840 10.6001 90.00 90.00 90.00
Closest atoms and distances in Å follow each position.
Fractional coordinates of all 10 atoms:
Ac: 0.0000 0.5000 0.2374  8 Pt 3.37-3.44, 6 Ge 3.39-3.57, 2 Hf 3.57
Ac: 0.5000 0.0000 0.7626  8 Pt 3.37-3.44, 6 Ge 3.39-3.57, 2 Hf 3.57
Hf: 0.0000 0.0000 0.5000  4 Pt 2.68
Ge: 0.0000 0.5000 0.8770  5 Pt 2.54-2.59
Ge: 0.5000 0.0000 0.1230  5 Pt 2.54-2.59
Ge: 0.5000 0.5000 0.5000  4 Pt 2.68
Pt: 0.0000 0.0000 0.0000  4 Ge 2.59
Pt: 0.0000 0.5000 0.6378  3 Ge 2.54-2.68, 2 Hf 2.68
Pt: 0.5000 0.0000 0.3622  3 Ge 2.54-2.68, 2 Hf 2.68
Pt: 0.5000 0.5000 0.0000  4 Ge 2.59